A plane-wave DFT calculation with meta-GGA SCAN was carried out for a crystal of ScZnSe2N relaxed with PBEsol.

Cell and atoms, written as POSCAR:
```
ScZnSe2N
1.0
4.019 0.000 0.000
0.000 5.150 0.000
0.000 0.000 5.150
N Sc Zn Se
1 1 1 2
Cartesian
2.009 0.000 0.000
0.000 0.000 0.000
2.009 2.575 2.575
0.000 2.575 0.000
0.000 0.000 2.575
```

Results
Its total magnetic moment is 0.41 μB per atom. As for the symmetry: P4/mmm (123). The uncorrected formation energy is 42 meV per atom.


A plane-wave DFT calculation with meta-GGA SCAN was carried out for a crystal of ZrScSe2N relaxed with PBEsol.

Cell and atoms, written as POSCAR:
```
ZrScSe2N
1.0
-3.738 0.723 0.453
-1.123 -4.112 -2.704
-0.024 -2.769 4.221
Se N Sc Zr
2 1 1 1
Cartesian
-0.012 -1.385 2.110
-0.562 -2.056 -1.352
-1.869 0.362 0.226
0.000 0.000 0.000
-2.443 -3.079 0.985
```

Results
Its total magnetic moment is 0.02 μB per atom. As for the symmetry: P4/mmm (123). The uncorrected formation energy is -430 meV per atom.


A plane-wave DFT calculation with meta-GGA SCAN was carried out for a crystal of ScSi3N relaxed with PBEsol.

Cell and atoms, written as POSCAR:
```
ScSi3N
1.0
4.072 0.000 0.000
0.000 4.072 0.000
0.000 0.000 4.072
Si Sc N
3 1 1
Cartesian
0.000 0.000 2.036
0.000 2.036 0.000
2.036 0.000 0.000
2.036 2.036 2.036
0.000 0.000 0.000
```

Results
Its total magnetic moment is 0.00 μB per atom. As for the symmetry: Pm-3m (221). The uncorrected formation energy is 249 meV per atom.


A plane-wave DFT calculation with meta-GGA SCAN was carried out for a crystal of Sc2SnN relaxed with PBEsol.

Cell and atoms, written as POSCAR:
```
Sc2SnN
1.0
-1.505 2.700 1.047
-1.916 -0.119 2.638
5.219 2.583 5.925
Sc Sn N
2 1 1
Cartesian
2.938 1.965 4.241
-1.140 3.199 5.369
0.000 0.000 0.000
0.899 2.582 4.805
```

Results
Its total magnetic moment is 0.00 μB per atom. As for the symmetry: R-3m (166). The uncorrected formation energy is -1025 meV per atom.


A plane-wave DFT calculation with meta-GGA SCAN was carried out for a crystal of SrScN2 relaxed with PBEsol.

Cell and atoms, written as POSCAR:
```
SrScN2
1.0
-2.164 -4.527 1.760
3.094 0.201 4.320
-4.074 4.845 -0.580
N Sr Sc
4 2 2
Cartesian
0.728 -0.621 4.416
-1.603 -2.363 2.894
-2.688 0.917 3.068
-2.727 3.107 0.622
0.000 0.000 0.000
-0.258 1.442 3.390
-2.887 -0.922 2.110
0.465 -2.163 3.040
```

Results
Its total magnetic moment is 0.25 μB per atom. As for the symmetry: I-42d (122). The uncorrected formation energy is -972 meV per atom.


A plane-wave DFT calculation with meta-GGA SCAN was carried out for a crystal of ZrSc2TaN relaxed with PBEsol.

Cell and atoms, written as POSCAR:
```
ZrSc2TaN
1.0
4.293 0.000 0.000
0.000 4.456 0.000
0.000 0.000 4.456
Sc Zr Ta N
2 1 1 1
Cartesian
0.000 0.000 2.228
0.000 2.228 0.000
2.147 2.228 2.228
2.147 0.000 0.000
0.000 0.000 0.000
```

Results
Its total magnetic moment is 0.00 μB per atom. As for the symmetry: P4/mmm (123). The uncorrected formation energy is -625 meV per atom.


A plane-wave DFT calculation with meta-GGA SCAN was carried out for a crystal of ScTcTe2N relaxed with PBEsol.

Cell and atoms, written as POSCAR:
```
ScTcTe2N
1.0
3.680 0.000 0.000
0.000 5.352 0.000
0.000 0.000 5.352
Sc Te Tc N
1 2 1 1
Cartesian
1.840 2.676 2.676
0.000 0.000 2.676
0.000 2.676 0.000
0.000 0.000 0.000
1.840 0.000 0.000
```

Results
Its total magnetic moment is 0.00 μB per atom. As for the symmetry: P4/mmm (123). The uncorrected formation energy is -171 meV per atom.


A plane-wave DFT calculation with meta-GGA SCAN was carried out for a crystal of ScTcW2N relaxed with PBEsol.

Cell and atoms, written as POSCAR:
```
ScTcW2N
1.0
-3.233 2.539 -0.278
-2.554 -3.213 0.361
0.005 0.461 4.138
Tc W N Sc
1 2 1 1
Cartesian
0.003 0.230 2.069
-1.616 1.269 -0.139
-1.277 -1.606 0.180
0.000 0.000 0.000
-2.891 -0.107 2.110
```

Results
Its total magnetic moment is 0.00 μB per atom. As for the symmetry: P4/mmm (123). The uncorrected formation energy is -31 meV per atom.


A plane-wave DFT calculation with meta-GGA SCAN was carried out for a crystal of ScTcWN2 relaxed with PBEsol.

Cell and atoms, written as POSCAR:
```
ScTcWN2
1.0
3.882 0.000 0.000
0.000 3.882 0.000
0.000 0.000 5.382
N Sc W Tc
2 1 1 1
Cartesian
1.941 0.000 0.000
0.000 1.941 0.000
0.000 0.000 2.691
0.000 0.000 0.000
1.941 1.941 2.691
```

Results
Its total magnetic moment is 0.40 μB per atom. As for the symmetry: P4/mmm (123). The uncorrected formation energy is 1064 meV per atom.


A plane-wave DFT calculation with meta-GGA SCAN was carried out for a crystal of ScTiTeN2 relaxed with PBEsol.

Cell and atoms, written as POSCAR:
```
ScTiTeN2
1.0
-1.808 3.410 0.842
-2.171 -1.829 2.748
3.778 1.087 3.708
Te N Ti Sc
1 2 1 1
Cartesian
1.889 0.543 1.854
-1.085 -0.915 1.374
-0.904 1.705 0.421
0.000 0.000 0.000
-0.100 1.334 3.649
```

Results
Its total magnetic moment is 0.00 μB per atom. As for the symmetry: P4/mmm (123). The uncorrected formation energy is -266 meV per atom.


A plane-wave DFT calculation with meta-GGA SCAN was carried out for a crystal of ScTiN3 relaxed with PBEsol.

Cell and atoms, written as POSCAR:
```
ScTiN3
1.0
3.852 0.000 0.000
0.000 3.852 0.000
0.000 0.000 3.852
N Ti Sc
3 1 1
Cartesian
1.926 0.000 0.000
0.000 1.926 0.000
0.000 0.000 1.926
0.000 0.000 0.000
1.926 1.926 1.926
```

Results
Its total magnetic moment is 0.00 μB per atom. As for the symmetry: Pm-3m (221). The uncorrected formation energy is -569 meV per atom.


A plane-wave DFT calculation with meta-GGA SCAN was carried out for a crystal of ScTi9N9 relaxed with PBEsol.

Cell and atoms, written as POSCAR:
```
ScTi9N9
1.0
5.171 0.004 -0.003
1.730 5.731 0.004
1.728 1.037 6.391
N Ti Sc
9 9 1
Cartesian
6.076 2.109 5.723
5.196 5.463 1.961
4.327 4.160 4.469
1.706 1.865 0.653
0.864 0.519 3.195
2.554 4.664 0.668
4.303 2.613 1.922
6.924 4.907 5.738
3.434 1.309 4.430
2.613 1.512 2.515
6.017 5.261 3.876
3.451 2.868 0.000
5.170 0.795 1.317
5.096 2.323 3.842
3.460 5.978 5.074
3.534 4.450 2.549
2.645 3.111 5.178
5.985 3.662 1.213
2.586 0.002 -0.002
```

Results
Its total magnetic moment is 0.00 μB per atom. As for the symmetry: P-1 (2). The uncorrected formation energy is -1918 meV per atom.


A plane-wave DFT calculation with meta-GGA SCAN was carried out for a crystal of ScTiW2N relaxed with PBEsol.

Cell and atoms, written as POSCAR:
```
ScTiW2N
1.0
4.087 0.000 0.000
0.000 4.087 0.000
0.000 0.000 4.383
Ti W Sc N
1 2 1 1
Cartesian
2.044 2.044 2.191
0.000 2.044 0.000
2.044 0.000 0.000
0.000 0.000 2.191
0.000 0.000 0.000
```

Results
Its total magnetic moment is 0.00 μB per atom. As for the symmetry: P4/mmm (123). The uncorrected formation energy is -274 meV per atom.


A plane-wave DFT calculation with meta-GGA SCAN was carried out for a crystal of Y2ScTlN relaxed with PBEsol.

Cell and atoms, written as POSCAR:
```
Y2ScTlN
1.0
-1.471 3.513 -2.333
-2.565 1.410 3.740
3.678 2.572 1.553
Tl N Y Sc
1 1 2 1
Cartesian
-0.179 3.747 1.480
0.000 0.000 0.000
-1.283 0.705 1.870
1.839 1.286 0.777
-0.736 1.756 -1.167
```

Results
Its total magnetic moment is 0.00 μB per atom. As for the symmetry: P4/mmm (123). The uncorrected formation energy is -1232 meV per atom.


A plane-wave DFT calculation with meta-GGA SCAN was carried out for a crystal of YScN2 relaxed with PBEsol.

Cell and atoms, written as POSCAR:
```
YScN2
1.0
3.302 0.000 0.000
1.651 2.859 0.000
1.651 0.953 5.388
Y N Sc
1 2 1
Cartesian
0.000 0.000 0.000
1.651 0.953 1.425
4.953 2.859 3.964
3.302 1.906 2.694
```

Results
Its total magnetic moment is 0.00 μB per atom. As for the symmetry: R-3m (166). The uncorrected formation energy is -2072 meV per atom.


A plane-wave DFT calculation with meta-GGA SCAN was carried out for a crystal of Sc2ZnN relaxed with PBEsol.

Cell and atoms, written as POSCAR:
```
Sc2ZnN
1.0
3.679 0.000 0.000
1.839 3.186 0.000
1.839 1.062 7.542
Sc Zn N
2 1 1
Cartesian
1.839 1.062 5.706
5.518 3.186 1.835
3.679 2.124 3.771
0.000 0.000 0.000
```

Results
Its total magnetic moment is 0.00 μB per atom. As for the symmetry: R-3m (166). The uncorrected formation energy is -141 meV per atom.


A plane-wave DFT calculation with meta-GGA SCAN was carried out for a crystal of Zr4Sc5N10 relaxed with PBEsol.

Cell and atoms, written as POSCAR:
```
Zr4Sc5N10
1.0
4.455 0.000 0.000
-2.228 5.046 0.000
0.000 -0.012 10.082
N Sc Zr
10 5 4
Cartesian
0.000 1.067 2.133
2.228 2.877 1.043
0.000 2.158 9.038
0.000 3.030 6.048
2.228 0.998 7.083
2.228 3.967 7.948
2.228 0.000 0.000
2.228 2.004 4.033
0.000 -0.006 5.041
0.000 4.036 2.999
2.228 4.034 3.016
0.000 1.997 4.070
2.228 -0.006 5.041
0.000 1.000 7.065
2.228 3.037 6.011
0.000 4.092 8.107
2.228 0.942 1.974
2.228 2.006 9.100
0.000 3.029 0.981
```

Results
Its total magnetic moment is 0.00 μB per atom. As for the symmetry: C2/m (12). The uncorrected formation energy is -2042 meV per atom.


A plane-wave DFT calculation with meta-GGA SCAN was carried out for a crystal of Se2N relaxed with PBEsol.

Cell and atoms, written as POSCAR:
```
Se2N
1.0
4.245 -0.005 0.269
0.006 5.966 -0.006
0.576 2.959 7.436
Se N
4 2
Cartesian
4.459 4.951 5.786
1.714 3.367 4.611
3.465 6.348 4.183
0.717 1.970 3.011
2.293 4.155 0.690
2.372 5.265 0.680
```

Results
Its total magnetic moment is 0.00 μB per atom. As for the symmetry: P1 (1). The uncorrected formation energy is 38 meV per atom.


A plane-wave DFT calculation with meta-GGA SCAN was carried out for a crystal of Si3SeN relaxed with PBEsol.

Cell and atoms, written as POSCAR:
```
Si3SeN
1.0
-1.470 -2.738 -2.770
2.220 -3.022 1.809
-3.201 -0.838 2.527
Si N Se
3 1 1
Cartesian
1.110 -1.511 0.905
-1.600 -0.419 1.264
-0.735 -1.369 -1.385
0.000 0.000 0.000
-1.226 -3.299 0.783
```

Results
Its total magnetic moment is 0.00 μB per atom. As for the symmetry: Pm-3m (221). The uncorrected formation energy is 945 meV per atom.


A plane-wave DFT calculation with meta-GGA SCAN was carried out for a crystal of SiSnSe2N relaxed with PBEsol.

Cell and atoms, written as POSCAR:
```
SiSnSe2N
1.0
-1.586 0.862 -3.517
-3.483 -3.880 0.620
-3.317 3.347 2.316
Se Si Sn N
2 1 1 1
Cartesian
-1.658 1.673 1.158
-1.741 -1.940 0.310
-4.193 0.165 -0.290
0.000 0.000 0.000
-0.793 0.431 -1.758
```

Results
Its total magnetic moment is 0.21 μB per atom. As for the symmetry: P4/mmm (123). The uncorrected formation energy is 989 meV per atom.


A plane-wave DFT calculation with meta-GGA SCAN was carried out for a crystal of TlSiSeN2 relaxed with PBEsol.

Cell and atoms, written as POSCAR:
```
TlSiSeN2
1.0
-0.897 -3.519 0.524
2.543 -0.256 2.633
-3.697 1.496 3.717
Si N Tl Se
1 2 1 1
Cartesian
0.000 0.000 0.000
1.271 -0.128 1.316
-0.449 -1.760 0.262
-1.026 -1.140 3.437
-1.849 0.748 1.858
```

Results
Its total magnetic moment is 0.00 μB per atom. As for the symmetry: P4/mmm (123). The uncorrected formation energy is 584 meV per atom.


A plane-wave DFT calculation with meta-GGA SCAN was carried out for a crystal of TlSiSe2N relaxed with PBEsol.

Cell and atoms, written as POSCAR:
```
TlSiSe2N
1.0
4.138 0.000 0.000
0.000 5.342 0.000
0.000 0.000 5.342
N Si Se Tl
1 1 2 1
Cartesian
2.069 0.000 0.000
2.069 2.671 2.671
0.000 2.671 0.000
0.000 0.000 2.671
0.000 0.000 0.000
```

Results
Its total magnetic moment is 0.39 μB per atom. As for the symmetry: P4/mmm (123). The uncorrected formation energy is 1388 meV per atom.


A plane-wave DFT calculation with meta-GGA SCAN was carried out for a crystal of ZrSiSeN2 relaxed with PBEsol.

Cell and atoms, written as POSCAR:
```
ZrSiSeN2
1.0
-3.064 -0.157 2.024
1.867 -1.659 2.697
1.035 4.249 1.897
Zr N Se Si
1 2 1 1
Cartesian
-0.081 1.216 3.309
-1.532 -0.079 1.012
0.933 -0.830 1.348
0.518 2.124 0.949
0.000 0.000 0.000
```

Results
Its total magnetic moment is 0.00 μB per atom. As for the symmetry: P4/mmm (123). The uncorrected formation energy is -21 meV per atom.


A plane-wave DFT calculation with meta-GGA SCAN was carried out for a crystal of Sn3SeN relaxed with PBEsol.

Cell and atoms, written as POSCAR:
```
Sn3SeN
1.0
5.510 0.000 0.000
0.000 5.510 0.000
0.000 0.000 5.510
Sn Se N
3 1 1
Cartesian
0.000 0.000 2.755
0.000 2.755 0.000
2.755 0.000 0.000
0.000 0.000 0.000
2.755 2.755 2.755
```

Results
Its total magnetic moment is 0.43 μB per atom. As for the symmetry: Pm-3m (221). The uncorrected formation energy is 1480 meV per atom.


A plane-wave DFT calculation with meta-GGA SCAN was carried out for a crystal of TaSnSe2N relaxed with PBEsol.

Cell and atoms, written as POSCAR:
```
TaSnSe2N
1.0
3.892 0.000 0.000
0.000 5.156 0.000
0.000 0.000 5.156
N Se Ta Sn
1 2 1 1
Cartesian
1.946 0.000 0.000
0.000 0.000 2.578
0.000 2.578 0.000
0.000 0.000 0.000
1.946 2.578 2.578
```

Results
Its total magnetic moment is 0.00 μB per atom. As for the symmetry: P4/mmm (123). The uncorrected formation energy is -238 meV per atom.


A plane-wave DFT calculation with meta-GGA SCAN was carried out for a crystal of TcSnSe2N relaxed with PBEsol.

Cell and atoms, written as POSCAR:
```
TcSnSe2N
1.0
-1.043 -0.187 3.742
-1.559 -4.976 -0.683
4.821 -1.683 1.259
N Sn Tc Se
1 1 1 2
Cartesian
-0.521 -0.093 1.871
0.000 0.000 0.000
1.109 -3.423 2.159
-0.780 -2.488 -0.341
2.410 -0.842 0.630
```

Results
Its total magnetic moment is 1.18 μB per atom. As for the symmetry: P4/mmm (123). The uncorrected formation energy is 1178 meV per atom.


A plane-wave DFT calculation with meta-GGA SCAN was carried out for a crystal of SnWSeN2 relaxed with PBEsol.

Cell and atoms, written as POSCAR:
```
SnWSeN2
1.0
-2.390 1.296 -2.988
-2.345 -3.258 0.462
-2.911 2.585 3.450
Se N Sn W
1 2 1 1
Cartesian
-1.456 1.292 1.725
-1.172 -1.629 0.231
-1.195 0.648 -1.494
0.000 0.000 0.000
-3.823 0.312 0.462
```

Results
Its total magnetic moment is 0.40 μB per atom. As for the symmetry: P4/mmm (123). The uncorrected formation energy is 1874 meV per atom.